CdCu4Pt | PBE | relaxed

Properties
SG: F-43m, No. 216
crystal system: cubic
volume: 83.3 Å³ per cell
E_form: -0.33 eV per formula unit
size of the total moment: 0.00 μB per cell
D(E_F): 2.7 states/eV per cell
energy relative to the lowest polymorph listed for this composition: 0.000 eV per atom

```
CdCu4Pt
1.0
0.000 3.466 3.466
3.466 0.000 3.466
3.466 3.466 0.000
Cd Cu Pt
1 4 1
direct
0.000 0.000 0.000 Cd
0.375 0.375 0.375 Cu
0.375 0.375 0.874 Cu
0.375 0.874 0.375 Cu
0.874 0.375 0.375 Cu
0.750 0.750 0.750 Pt
```